Record 1
Entry from the Alexandria database: an optimized crystal structure of TlHg4Au (PBE).

Calculated formation energy, kJ/mol of formula units: 89
Crystal system: cubic
DOS at the Fermi energy, states/eV/cell: 1.48
Calculated volume, A^3/atom: 27.2
E, eV/atom: -0.988
Symmetry: No. 216

Lattice parameters (Å, degrees): 6.134 6.134 6.134 60.00 60.00 60.00
Sites, in units of the cell vectors:
Tl1 0.750 0.750 0.750
Hg1 0.876 0.375 0.375
Hg2 0.375 0.375 0.876
Hg3 0.375 0.876 0.375
Hg4 0.375 0.375 0.375
Au1 0.000 0.000 0.000

Record 2
Entry from the Alexandria database: an optimized crystal structure of TlHg4Au (PBE).

Calculated formation energy, kJ/mol of formula units: 8
Crystal system: monoclinic
DOS at the Fermi energy, states/eV/cell: 4.39
Calculated volume, A^3/atom: 26.6
E, eV/atom: -1.128
Symmetry: No. 15

Lattice parameters (Å, degrees): 5.467 8.044 8.044 108.93 99.91 99.91
Sites, in units of the cell vectors:
Tl1 0.750 0.607 0.393
Tl2 0.250 0.393 0.607
Hg1 0.866 0.626 0.816
Hg2 0.092 0.931 0.312
Hg3 0.634 0.184 0.374
Hg4 0.408 0.688 0.069
Hg5 0.592 0.312 0.931
Hg6 0.366 0.816 0.626
Hg7 0.908 0.069 0.688
Hg8 0.134 0.374 0.184
Au1 0.250 0.010 0.990
Au2 0.750 0.990 0.010

Record 3
Entry from the Alexandria database: an optimized crystal structure of TlHgAu2 (PBE).

Calculated formation energy, kJ/mol of formula units: 36
Crystal system: tetragonal
DOS at the Fermi energy, states/eV/cell: 0.63
Calculated volume, A^3/atom: 22.3
E, eV/atom: -2.211
Symmetry: No. 123

Lattice parameters (Å, degrees): 5.428 5.428 3.021 90.00 90.00 90.00
Sites, in units of the cell vectors:
Tl1 0.000 0.500 0.500
Au1 0.000 0.000 0.000
Au2 0.500 0.500 0.000
Hg1 0.500 0.000 0.500

Record 4
Entry from the Alexandria database: an optimized crystal structure of Tl4Hg3Au (PBE).

Calculated formation energy, kJ/mol of formula units: -15
Crystal system: tetragonal
DOS at the Fermi energy, states/eV/cell: 2.66
Calculated volume, A^3/atom: 28.0
E, eV/atom: -1.726
Symmetry: No. 123

Lattice parameters (Å, degrees): 3.594 3.594 17.325 90.00 90.00 90.00
Sites, in units of the cell vectors:
Tl1 0.000 0.000 0.894
Tl2 0.000 0.000 0.106
Tl3 0.000 0.000 0.374
Tl4 0.000 0.000 0.626
Au1 0.500 0.500 0.000
Hg1 0.500 0.500 0.241
Hg2 0.500 0.500 0.500
Hg3 0.500 0.500 0.759